Crystalline Nd2UP3 at its relaxed geometry. Source: Alexandria via LeMat-Bulk, functional GGA-PBE.

Properties
Energy of formation from the pure elements   -30.6 kcal/mol of atoms
Calculated volume   144.8 Å³/cell

```
Nd2UP3
1.0
-2.046 2.046 8.653
2.046 -2.046 8.653
2.046 2.046 -8.653
Nd U P
2 1 3
Direct
0.167 0.167 0.000
0.833 0.833 0.000
0.500 0.500 0.000
0.000 0.000 0.000
0.339 0.339 0.000
0.661 0.661 0.000
```


Crystalline Zr2CdAg at its relaxed geometry. Source: Alexandria via LeMat-Bulk, functional GGA-PBE.

Properties
Energy of formation from the pure elements   -0.8 kcal/mol of atoms
Calculated volume   84.5 Å³/cell

```
Zr2CdAg
1.0
5.554 -1.576 0.000
5.554 1.576 0.000
-2.299 0.000 4.828
Zr Cd Ag
2 1 1
Direct
0.000 0.000 0.000
0.245 0.245 0.853
0.482 0.482 0.479
0.745 0.745 0.366
```


Crystalline Pm4CoIBr2 at its relaxed geometry. Source: Alexandria via LeMat-Bulk, functional GGA-PBE.

Properties
Calculated volume   242.3 Å³/cell
E_form (uncorrected)   -80.6 kJ/mol of atoms

```
Pm4CoIBr2
1.0
7.734 0.000 0.000
0.000 4.061 0.000
-2.562 0.000 7.717
Pm Co I Br
4 1 1 2
Direct
0.198 0.000 0.194
0.224 0.500 0.806
0.776 0.500 0.194
0.802 0.000 0.806
0.000 0.500 0.000
0.000 0.000 0.500
0.500 0.000 0.000
0.500 0.500 0.500
```


no.,magnetization (μB per cell),calculated total energy (eV/atom)
1,2.326,-7.5045
2,0.000,-5.2508
3,0.000,-4.7105